! PBE-GGA ZrNb2SnAs, optimized geometry; values from VASP
&SYSTEM
  ibrav = 0, nat = 5, ntyp = 4
/
ATOMIC_SPECIES
Zr 91.22 Zr.upf
Nb 92.91 Nb.upf
Sn 118.71 Sn.upf
As 74.92 As.upf
CELL_PARAMETERS angstrom
5.036 0.000 0.000
0.000 5.036 0.000
0.000 0.000 5.310
ATOMIC_POSITIONS crystal
Zr 0.000 0.000 0.000
Nb 0.000 0.500 0.500
Nb 0.500 0.000 0.500
Sn 0.000 0.000 0.500
As 0.500 0.500 0.000
! Space-group type: P4/mmm (123)
! E (eV/atom): -6.039